## Cu12AgPt6 (GGA-PBE)

Data for a relaxed Cu12AgPt6 crystal.

It has space group R-3m (No. 166, hexagonal axes), with a = 11.1326 Å, b = 11.1326 Å, c = 8.0528 Å, α = 90.00°, β = 90.00° and γ = 120.00°. The asymmetric unit holds Cu at (0.0000, 0.3902, 0.0000), Cu at (0.0812, 0.1624, 0.7614), Ag at (0.0000, 0.0000, 0.5000) and Pt at (0.0729, 0.5365, 0.7332).

The value obtained for the formation energy is 242 kJ/mol of formula units.

## ErPuCdSn (GGA-PBE)

Data for a relaxed ErPuCdSn crystal.

It has space group F-43m (No. 216), with a = 7.505 Å, b = 7.505 Å, c = 7.505 Å, α = 90.00°, β = 90.00° and γ = 90.00°. The asymmetric unit holds Er at (0.000, 0.000, 0.000), Pu at (0.000, 0.000, 0.500), Cd at (0.250, 0.250, 0.250) and Sn at (0.250, 0.250, 0.750).

The value obtained for the formation energy is -121 kJ/mol of formula units.

## Cu2AgCl (GGA-PBE)

Data for a relaxed Cu2AgCl crystal.

It has space group C2/m (No. 12), with a = 8.912 Å, b = 3.013 Å, c = 7.310 Å, α = 90.00°, β = 119.71° and γ = 90.00°. The asymmetric unit holds Cu at (0.162, 0.000, 0.346), Ag at (0.000, 0.500, 0.500) and Cl at (0.000, 0.000, 0.000).

Its energy relative to the elements, uncorrected is 80 meV per atom.

## CsDyGaTe4 (GGA-PBE)

Data for a relaxed CsDyGaTe4 crystal.

It has space group P2_1/m (No. 11), with a = 7.679 Å, b = 6.604 Å, c = 10.782 Å, α = 90.00°, β = 106.23° and γ = 90.00°. The asymmetric unit holds Cs at (0.233, 0.250, 0.051), Dy at (0.254, 0.250, 0.550), Ga at (0.263, 0.750, 0.336), Te at (0.016, 0.511, 0.697), Te at (0.429, 0.750, 0.582) and Te at (0.461, 0.750, 0.179).

Its energy relative to the elements, uncorrected is -871 meV per atom.

## TeAsNF2 (GGA-PBE)

Data for a relaxed TeAsNF2 crystal.

It has space group P4/mmm (No. 123), with a = 3.987 Å, b = 3.987 Å, c = 4.939 Å, α = 90.00°, β = 90.00° and γ = 90.00°. The asymmetric unit holds Te at (0.000, 0.000, 0.000), As at (0.500, 0.500, 0.500), N at (0.500, 0.500, 0.000) and F at (0.000, 0.500, 0.500).

Its energy relative to the elements, uncorrected is -106 meV per atom.

The calculation returns the following density of states at the Fermi level values, one per record and in order: 29.2; 39.7; 3.2; 3.6; 3.7 states/eV/cell.